# VB2SbPd (PBE-GGA, optimized geometry)
data_VB2SbPd
_chemical_formula_sum 'V1 B2 Sb1 Pd1'
_space_group_name_H-M_alt 'P 1'
_space_group_IT_number 1
_space_group_name_Hall 'P 1'
_cell_length_a 4.000
_cell_length_b 4.000
_cell_length_c 5.805
_cell_angle_alpha 90.00
_cell_angle_beta 90.00
_cell_angle_gamma 90.00
loop_
_atom_site_label
_atom_site_type_symbol
_atom_site_fract_x
_atom_site_fract_y
_atom_site_fract_z
V1 V 0.000 0.000 0.000
B1 B 0.000 0.500 0.500
B2 B 0.500 0.000 0.500
Sb1 Sb 0.500 0.500 0.000
Pd1 Pd 0.500 0.500 0.500
# Space group = No. 123
# Energy = -5.280 eV/atom

# ZnB2SbPd (PBE-GGA, optimized geometry)
data_ZnB2SbPd
_chemical_formula_sum 'Zn1 B2 Sb1 Pd1'
_space_group_name_H-M_alt 'P 1'
_space_group_IT_number 1
_space_group_name_Hall 'P 1'
_cell_length_a 4.034
_cell_length_b 4.034
_cell_length_c 5.827
_cell_angle_alpha 90.00
_cell_angle_beta 90.00
_cell_angle_gamma 90.00
loop_
_atom_site_label
_atom_site_type_symbol
_atom_site_fract_x
_atom_site_fract_y
_atom_site_fract_z
Zn1 Zn 0.000 0.000 0.000
B1 B 0.000 0.500 0.500
B2 B 0.500 0.000 0.500
Sb1 Sb 0.500 0.500 0.000
Pd1 Pd 0.500 0.500 0.500
# Space group = No. 123
# Energy = -3.934 eV/atom

# ScB2Pd8 (PBE-GGA, optimized geometry)
data_ScB2Pd8
_chemical_formula_sum 'Sc1 B2 Pd8'
_space_group_name_H-M_alt 'P 1'
_space_group_IT_number 1
_space_group_name_Hall 'P 1'
_cell_length_a 6.398
_cell_length_b 6.398
_cell_length_c 4.175
_cell_angle_alpha 97.74
_cell_angle_beta 97.74
_cell_angle_gamma 109.46
loop_
_atom_site_label
_atom_site_type_symbol
_atom_site_fract_x
_atom_site_fract_y
_atom_site_fract_z
Sc1 Sc 0.000 0.000 0.000
B1 B 0.328 0.672 0.500
B2 B 0.672 0.328 0.500
Pd1 Pd 0.058 0.326 0.586
Pd2 Pd 0.260 0.740 0.000
Pd3 Pd 0.326 0.058 0.586
Pd4 Pd 0.385 0.385 0.203
Pd5 Pd 0.615 0.615 0.797
Pd6 Pd 0.674 0.942 0.414
Pd7 Pd 0.740 0.260 0.000
Pd8 Pd 0.942 0.674 0.414
# Formation energy = -391 kJ/mol of formula units
# Space group = No. 12
# Energy = -5.935 eV/atom

# ScB2Pd2 (PBE-GGA, optimized geometry)
data_ScB2Pd2
_chemical_formula_sum 'Sc1 B2 Pd2'
_space_group_name_H-M_alt 'P 1'
_space_group_IT_number 1
_space_group_name_Hall 'P 1'
_cell_length_a 5.145
_cell_length_b 5.145
_cell_length_c 5.145
_cell_angle_alpha 135.16
_cell_angle_beta 135.16
_cell_angle_gamma 65.28
loop_
_atom_site_label
_atom_site_type_symbol
_atom_site_fract_x
_atom_site_fract_y
_atom_site_fract_z
Sc1 Sc 0.000 0.000 0.000
B1 B 0.250 0.750 0.500
B2 B 0.750 0.250 0.500
Pd1 Pd 0.350 0.350 0.000
Pd2 Pd 0.650 0.650 0.000
# Formation energy = -89 kJ/mol of formula units
# Space group = No. 139
# Energy = -6.200 eV/atom

# ScB4Pd (PBE-GGA, optimized geometry)
data_ScB4Pd
_chemical_formula_sum 'Sc4 B16 Pd4'
_space_group_name_H-M_alt 'P 1'
_space_group_IT_number 1
_space_group_name_Hall 'P 1'
_cell_length_a 5.889
_cell_length_b 11.423
_cell_length_c 3.511
_cell_angle_alpha 90.00
_cell_angle_beta 90.00
_cell_angle_gamma 90.00
loop_
_atom_site_label
_atom_site_type_symbol
_atom_site_fract_x
_atom_site_fract_y
_atom_site_fract_z
Sc1 Sc 0.129 0.150 0.000
Sc2 Sc 0.371 0.650 0.000
Sc3 Sc 0.629 0.350 0.000
Sc4 Sc 0.871 0.850 0.000
B1 B 0.023 0.695 0.500
B2 B 0.119 0.551 0.500
B3 B 0.132 0.969 0.500
B4 B 0.202 0.813 0.500
B5 B 0.298 0.313 0.500
B6 B 0.368 0.469 0.500
B7 B 0.381 0.051 0.500
B8 B 0.477 0.195 0.500
B9 B 0.523 0.805 0.500
B10 B 0.619 0.949 0.500
B11 B 0.632 0.531 0.500
B12 B 0.702 0.687 0.500
B13 B 0.798 0.187 0.500
B14 B 0.868 0.031 0.500
B15 B 0.881 0.449 0.500
B16 B 0.977 0.305 0.500
Pd1 Pd 0.141 0.405 0.000
Pd2 Pd 0.359 0.905 0.000
Pd3 Pd 0.641 0.095 0.000
Pd4 Pd 0.859 0.595 0.000
# Formation energy = -235 kJ/mol of formula units
# Space group = No. 55
# Energy = -6.779 eV/atom

# ScB2Pd2 (PBE-GGA, optimized geometry)
data_ScB2Pd2
_chemical_formula_sum 'Sc2 B4 Pd4'
_space_group_name_H-M_alt 'P 1'
_space_group_IT_number 1
_space_group_name_Hall 'P 1'
_cell_length_a 6.819
_cell_length_b 6.819
_cell_length_c 2.694
_cell_angle_alpha 90.00
_cell_angle_beta 90.00
_cell_angle_gamma 90.00
loop_
_atom_site_label
_atom_site_type_symbol
_atom_site_fract_x
_atom_site_fract_y
_atom_site_fract_z
Sc1 Sc 0.000 0.000 0.000
Sc2 Sc 0.500 0.500 0.000
B1 B 0.163 0.337 0.500
B2 B 0.337 0.837 0.500
B3 B 0.663 0.163 0.500
B4 B 0.837 0.663 0.500
Pd1 Pd 0.138 0.638 0.000
Pd2 Pd 0.362 0.138 0.000
Pd3 Pd 0.638 0.862 0.000
Pd4 Pd 0.862 0.362 0.000
# Formation energy = 106 kJ/mol of formula units
# Space group = No. 127
# Energy = -5.794 eV/atom